[1]
This record from the Alexandria database describes a relaxed structure of Tl2IrAu. The functional is PBEsol.

a = 3.2799 Å, b = 4.5308 Å, c = 5.2753 Å
α = 90.00°, β = 90.00°, γ = 90.00°
Sites, in units of the cell vectors:
Au 0.5000 0.5000 0.0000
Ir 0.0000 0.5000 0.5000
Tl 0.0000 0.0000 0.0000
Tl 0.5000 0.0000 0.5000

- distance to the lowest polymorph of the same formula (eV/atom) = 0.028
- ΔE_f (eV per atom) = 0.514

***

[2]
This record from the Alexandria database describes a relaxed structure of TlIrAu2. The functional is PBEsol.

a = 4.0294 Å, b = 4.0294 Å, c = 4.2437 Å
α = 90.00°, β = 90.00°, γ = 90.00°
Sites, in units of the cell vectors:
Au 0.0000 0.5000 0.0000
Au 0.5000 0.0000 0.0000
Ir 0.5000 0.5000 0.5000
Tl 0.0000 0.0000 0.5000

- distance to the lowest polymorph of the same formula (eV/atom) = 0.000
- ΔE_f (eV per atom) = 0.275

***

- The highest distance to the lowest polymorph of the same formula belongs to which entry?
  Tl2IrAu

***

- What is the formula in the first record?
  Tl2IrAu

***

- The lowest distance to the lowest polymorph of the same formula belongs to which entry?
  TlIrAu2